Here is a relaxed structure of Ca2Sb2I from Alexandria. Energies are from GGA-PBE.

calculated total energy	-3.52	eV/atom
distance to the lowest polymorph of the same formula	92	meV/atom
DOS at the Fermi energy	4.94	states/eV/f.u.
energy relative to the elements, uncorrected	-0.759	eV per atom

Unit cell a=5.9415 b=5.9415 c=10.1818 alpha=90.00 beta=90.00 gamma=90.00
Closest atoms and distances in Å follow each position.
Space group I4/mmm (No. 139)
One atom of each set of equivalent atoms:
Ca 0.0000 0.5000 0.2500 [4 per cell]  4 Sb 3.19
Sb 0.0000 0.0000 0.1354 [4 per cell]  1 Sb 2.76
I 0.0000 0.0000 0.5000 [2 per cell]  2 Sb 3.71, 8 Ca 3.91



Here is a relaxed structure of Ti4Ga4Au from Alexandria. Energies are from GGA-PBE.

calculated total energy	-5.38	eV/atom
energy of formation	-0.162	eV per atom
DOS at the Fermi energy	7.61	states/eV/f.u.

Unit cell a=7.8996 b=7.8996 c=5.0389 alpha=90.00 beta=90.00 gamma=90.00
Closest atoms and distances in Å follow each position.
Space group I4/m (No. 87)
One atom of each set of equivalent atoms:
Ti 0.0544 0.3478 0.0000 [8 per cell]  1 Ti 2.55, 5 Ga 2.71-2.77, 1 Au 2.78
Ga 0.1080 0.2118 0.5000 [8 per cell]  2 Ga 2.66, 5 Ti 2.71-2.77
Au 0.0000 0.0000 0.0000 [2 per cell]  4 Ti 2.78



Here is a relaxed structure of Nd9Ho4Tl11 from Alexandria. Energies are from GGA-PBE.

calculated total energy	-3.93	eV/atom
energy of formation	-0.298	eV per atom
DOS at the Fermi energy	24.16	states/eV/f.u.

Unit cell a=18.1156 b=21.7826 c=3.5644 alpha=90.00 beta=90.00 gamma=90.00
Closest atoms and distances in Å follow each position.
Space group Cmmm (No. 65)
One atom of each set of equivalent atoms:
Nd 0.0000 0.0000 0.0000 [2 per cell]  4 Ho 3.30, 4 Tl 3.43, 2 Nd 3.56
Nd 0.1167 0.2419 0.0000 [8 per cell]  8 Tl 3.38-3.62, 1 Ho 3.49, 3 Nd 3.56-3.74
Nd 0.1219 0.4137 0.0000 [8 per cell]  8 Tl 3.36-3.43, 3 Nd 3.56-3.74
Ho 0.1511 0.0845 0.0000 [8 per cell]  6 Tl 3.22-3.44, 2 Nd 3.30-3.49, 2 Ho 3.56
Tl 0.0000 0.1345 0.5000 [4 per cell]  6 Nd 3.43-3.62, 4 Ho 3.44, 2 Tl 3.56
Tl 0.0000 0.3313 0.5000 [4 per cell]  8 Nd 3.36-3.38, 3 Tl 3.56-3.68
Tl 0.0000 0.5000 0.5000 [2 per cell]  8 Nd 3.40, 4 Tl 3.56-3.68
Tl 0.2411 0.5000 0.5000 [4 per cell]  4 Ho 3.22, 4 Nd 3.37, 2 Tl 3.56
Tl 0.2445 0.3259 0.5000 [8 per cell]  2 Ho 3.25, 3 Tl 3.31-3.56, 6 Nd 3.42-3.45